CdMo2W: optimized geometry, PBE.

The structure belongs to space group P4/mmm (No. 123); the cell edges are 4.238, 4.238 and 3.710 Å and the angles 90.00°, 90.00° and 90.00°. The inequivalent atoms are Cd at (0.000, 0.000, 0.000), Mo at (0.000, 0.500, 0.500) and W at (0.500, 0.500, 0.000).

For the formation energy from the elements, the calculation gives 0.478 eV/atom. Its total moment is 0.00 Bohr magnetons per cell. As for the crystal system: tetragonal. The calculation puts the density of states at the Fermi level at 0.668 states/eV/atom. The calculated volume is 66.6 Å³ per cell.